i | Entry from Alexandria via LeMat-Bulk: an optimized crystal structure of ZnHgI2O (GGA-PBE).

Summary:
Density   6.00 g/cm³

Structure (CIF):
```
data_ZnHgI2O
_cell_length_a 6.0193
_cell_length_b 6.0193
_cell_length_c 4.0955
_cell_angle_alpha 90.00
_cell_angle_beta 90.00
_cell_angle_gamma 90.00
_space_group_name_H-M_alt 'P 1'
_space_group_IT_number 1
loop_
_space_group_symop_operation_xyz
'x,y,z'
loop_
_atom_site_label
_atom_site_fract_x
_atom_site_fract_y
_atom_site_fract_z
_atom_site_occupancy
Zn1 0.0000 0.0000 0.0000 1
Hg1 0.5000 0.5000 0.5000 1
I1 0.0000 0.5000 0.5000 1
I2 0.5000 0.0000 0.5000 1
O1 0.5000 0.5000 0.0000 1
```

ii | Entry from Alexandria via LeMat-Bulk: an optimized crystal structure of ZnHgI2O (GGA-PBE).

Summary:
Density   5.10 g/cm³

Structure (CIF):
```
data_ZnHgI2O
_cell_length_a 7.1868
_cell_length_b 7.1868
_cell_length_c 3.3771
_cell_angle_alpha 90.00
_cell_angle_beta 90.00
_cell_angle_gamma 90.00
_space_group_name_H-M_alt 'P 1'
_space_group_IT_number 1
loop_
_space_group_symop_operation_xyz
'x,y,z'
loop_
_atom_site_label
_atom_site_fract_x
_atom_site_fract_y
_atom_site_fract_z
_atom_site_occupancy
Zn1 0.0000 0.0000 0.0000 1
Hg1 0.5000 0.5000 0.5000 1
I1 0.0000 0.5000 0.0000 1
I2 0.5000 0.0000 0.0000 1
O1 0.0000 0.0000 0.5000 1
```

Q: Which of them is the least stable? A: i.

i | Entry from Alexandria via LeMat-Bulk: an optimized crystal structure of HgOs2I (GGA-PBE).

Summary:
Density   14.61 g/cm³

Structure (CIF):
```
data_HgOs2I
_cell_length_a 6.0026
_cell_length_b 6.0026
_cell_length_c 6.0026
_cell_angle_alpha 103.81
_cell_angle_beta 103.81
_cell_angle_gamma 121.51
_space_group_name_H-M_alt 'P 1'
_space_group_IT_number 1
loop_
_space_group_symop_operation_xyz
'x,y,z'
loop_
_atom_site_label
_atom_site_fract_x
_atom_site_fract_y
_atom_site_fract_z
_atom_site_occupancy
Hg1 0.0000 0.0000 0.0000 1
Hg2 0.7500 0.2500 0.5000 1
Os1 0.1629 0.1250 0.5379 1
Os2 0.3750 0.8371 0.9621 1
Os3 0.5871 0.6250 0.4621 1
Os4 0.8750 0.4129 0.0379 1
I1 0.2500 0.7500 0.5000 1
I2 0.5000 0.5000 0.0000 1
```

ii | Entry from Alexandria via LeMat-Bulk: an optimized crystal structure of HgOs2I (GGA-PBE).

Summary:
Density   16.30 g/cm³

Structure (CIF):
```
data_HgOs2I
_cell_length_a 4.6720
_cell_length_b 4.6720
_cell_length_c 4.6720
_cell_angle_alpha 60.00
_cell_angle_beta 60.00
_cell_angle_gamma 60.00
_space_group_name_H-M_alt 'P 1'
_space_group_IT_number 1
loop_
_space_group_symop_operation_xyz
'x,y,z'
loop_
_atom_site_label
_atom_site_fract_x
_atom_site_fract_y
_atom_site_fract_z
_atom_site_occupancy
Hg1 0.0000 0.0000 0.0000 1
Os1 0.2500 0.2500 0.2500 1
Os2 0.7500 0.7500 0.7500 1
I1 0.5000 0.5000 0.5000 1
```

Q: Which of them is the least stable? A: i.

i | Entry from Alexandria via LeMat-Bulk: an optimized crystal structure of HgSb2OsI (GGA-PBE).

Summary:
Density   7.33 g/cm³

Structure (CIF):
```
data_HgSb2OsI
_cell_length_a 5.5149
_cell_length_b 5.5149
_cell_length_c 5.6729
_cell_angle_alpha 90.00
_cell_angle_beta 90.00
_cell_angle_gamma 90.00
_space_group_name_H-M_alt 'P 1'
_space_group_IT_number 1
loop_
_space_group_symop_operation_xyz
'x,y,z'
loop_
_atom_site_label
_atom_site_fract_x
_atom_site_fract_y
_atom_site_fract_z
_atom_site_occupancy
Hg1 0.0000 0.0000 0.0000 1
Sb1 0.0000 0.5000 0.0000 1
Sb2 0.5000 0.0000 0.0000 1
Os1 0.5000 0.5000 0.5000 1
I1 0.0000 0.0000 0.5000 1
```

ii | Entry from Alexandria via LeMat-Bulk: an optimized crystal structure of HgSb2OsI (GGA-PBE).

Summary:
Density   8.22 g/cm³

Structure (CIF):
```
data_HgSb2OsI
_cell_length_a 5.0891
_cell_length_b 5.0891
_cell_length_c 5.9412
_cell_angle_alpha 90.00
_cell_angle_beta 90.00
_cell_angle_gamma 90.00
_space_group_name_H-M_alt 'P 1'
_space_group_IT_number 1
loop_
_space_group_symop_operation_xyz
'x,y,z'
loop_
_atom_site_label
_atom_site_fract_x
_atom_site_fract_y
_atom_site_fract_z
_atom_site_occupancy
Hg1 0.0000 0.0000 0.0000 1
Sb1 0.0000 0.5000 0.5000 1
Sb2 0.5000 0.0000 0.5000 1
Os1 0.5000 0.5000 0.5000 1
I1 0.5000 0.5000 0.0000 1
```

Q: Which of them is the least stable? A: i.